No. 1
The following is a PBE calculation of an optimized crystal structure of LaYHfBr2, from the Alexandria database.

Properties
**Uncorrected energy**: -23.9 eV/cell
**ΔE_f (raw)**: 0.78 eV/f.u.
**Density of states at the Fermi level**: 7.6 states/eV per cell
**Symmetry**: No. 123
**Energy relative to the lowest polymorph listed for this composition**: 103 meV per atom

Cell lengths 5.2021, 5.2021, 6.2870 Å; angles 90.00, 90.00, 90.00 degrees
Sites, in units of the cell vectors:
La 0.0000 0.0000 0.0000
Y 0.5000 0.5000 0.0000
Hf 0.0000 0.0000 0.5000
Br 0.0000 0.5000 0.5000
Br 0.5000 0.0000 0.5000


No. 2
The following is a PBE calculation of an optimized crystal structure of K3RuW, from the Alexandria database.

Properties
**Uncorrected energy**: -14.3 eV/cell
**ΔE_f**: 2.2538 eV/atom
**Density of states at the Fermi level**: 11.6 states/eV per cell
**Symmetry**: No. 221
**Energy relative to the lowest polymorph listed for this composition**: 0 meV per atom

Cell lengths 6.0749, 6.0749, 6.0749 Å; angles 90.00, 90.00, 90.00 degrees
Sites, in units of the cell vectors:
K 0.0000 0.0000 0.5000
K 0.0000 0.5000 0.0000
K 0.5000 0.0000 0.0000
Ru 0.0000 0.0000 0.0000
W 0.5000 0.5000 0.5000


No. 3
The following is a PBE calculation of an optimized crystal structure of CdH4Br3N, from the Alexandria database.

Properties
**Uncorrected energy**: -134.6 eV/cell
**Density of states at the Fermi level**: 0.0 states/eV per cell
**Symmetry**: No. 1
**Energy relative to the lowest polymorph listed for this composition**: 0 meV per atom

Cell lengths 7.0876, 7.8333, 13.3497 Å; angles 90.14, 94.07, 90.09 degrees
Sites, in units of the cell vectors:
Cd 0.0000 0.0000 0.0000
Cd 0.0893 0.5106 0.5044
Cd 0.4966 0.0039 0.9997
Cd 0.5929 0.5058 0.5051
H 0.0338 0.5168 0.1644
H 0.2819 0.3747 0.8360
H 0.3028 0.5667 0.8974
H 0.3493 0.0580 0.2689
H 0.3493 0.5535 0.7735
H 0.3676 0.8751 0.3391
H 0.3858 0.0706 0.3969
H 0.4952 0.4612 0.8643
H 0.5581 0.9993 0.3261
H 0.6025 0.0542 0.6425
H 0.7465 0.9574 0.7324
H 0.7903 0.9432 0.6081
H 0.8189 0.1344 0.6699
H 0.8316 0.4396 0.1074
H 0.8354 0.6342 0.1661
H 0.8601 0.4509 0.2356
Br 0.2248 0.0729 0.8408
Br 0.2529 0.7284 0.0439
Br 0.2592 0.2008 0.1177
Br 0.3115 0.5763 0.3450
Br 0.3543 0.2296 0.5460
Br 0.3581 0.7030 0.6202
Br 0.7328 0.8073 0.8844
Br 0.7407 0.2796 0.9605
Br 0.7663 0.9300 0.1598
Br 0.8247 0.3065 0.3881
Br 0.8276 0.7804 0.4599
Br 0.8726 0.4386 0.6642
N 0.3559 0.4897 0.8422
N 0.4141 0.0009 0.3330
N 0.7411 0.0216 0.6638
N 0.8893 0.5102 0.1685


No. 4
The following is a PBE calculation of an optimized crystal structure of ScBe8Ru3, from the Alexandria database.

Properties
**Uncorrected energy**: -68.5 eV/cell
**ΔE_f**: -0.3805 eV/atom
**Density of states at the Fermi level**: 4.9 states/eV per cell
**Symmetry**: No. 156

Cell lengths 4.4012, 4.4012, 7.2916 Å; angles 90.00, 90.00, 120.00 degrees
Sites, in units of the cell vectors:
Sc 0.0000 0.0000 0.0000
Be 0.1660 0.3320 0.6714
Be 0.1660 0.8340 0.6714
Be 0.3333 0.6667 0.4338
Be 0.3333 0.6667 0.9276
Be 0.5033 0.0066 0.1994
Be 0.5033 0.4967 0.1994
Be 0.6680 0.8340 0.6714
Be 0.9934 0.4967 0.1994
Ru 0.0000 0.0000 0.3701
Ru 0.6667 0.3333 0.5014
Ru 0.6667 0.3333 0.8653


No. 5
The following is a PBE calculation of an optimized crystal structure of Tl2Pd3F10, from the Alexandria database.

Properties
**Uncorrected energy**: -120.7 eV/cell
**ΔE_f (raw)**: -21.34 eV/f.u.
**Density of states at the Fermi level**: 6.8 states/eV per cell
**Symmetry**: No. 12

Cell lengths 10.2983, 10.2983, 8.5412 Å; angles 110.51, 110.51, 35.99 degrees
Sites, in units of the cell vectors:
Tl 0.1232 0.1232 0.2276
Tl 0.2103 0.2103 0.8361
Tl 0.7897 0.7897 0.1639
Tl 0.8768 0.8768 0.7724
Pd 0.2539 0.7461 0.5000
Pd 0.3181 0.3181 0.4814
Pd 0.4248 0.4248 0.0207
Pd 0.5752 0.5752 0.9793
Pd 0.6819 0.6819 0.5186
Pd 0.7461 0.2539 0.5000
F 0.0000 0.5000 0.5000
F 0.0189 0.0189 0.6712
F 0.1350 0.5752 0.0245
F 0.1483 0.6324 0.4670
F 0.2645 0.2645 0.2318
F 0.2850 0.7150 0.0000
F 0.3679 0.3679 0.7318
F 0.3676 0.8517 0.5330
F 0.4248 0.8650 0.9755
F 0.4780 0.4780 0.3161
F 0.5000 0.0000 0.5000
F 0.5220 0.5220 0.6839
F 0.5752 0.1350 0.0245
F 0.6324 0.1483 0.4670
F 0.6321 0.6321 0.2682
F 0.7150 0.2850 0.0000
F 0.7355 0.7355 0.7682
F 0.8517 0.3676 0.5330
F 0.8650 0.4248 0.9755
F 0.9811 0.9811 0.3288


No. 6
The following is a PBE calculation of an optimized crystal structure of LaZnAs2Br, from the Alexandria database.

Properties
**Uncorrected energy**: -16.6 eV/cell
**ΔE_f (raw)**: 0.62 eV/f.u.
**Density of states at the Fermi level**: 4.3 states/eV per cell
**Symmetry**: No. 123
**Energy relative to the lowest polymorph listed for this composition**: 590 meV per atom

Cell lengths 5.9064, 5.9064, 5.8356 Å; angles 90.00, 90.00, 90.00 degrees
Sites, in units of the cell vectors:
La 0.0000 0.0000 0.0000
Zn 0.5000 0.5000 0.5000
As 0.0000 0.5000 0.0000
As 0.5000 0.0000 0.0000
Br 0.0000 0.0000 0.5000


No. 7
The following is a PBE calculation of an optimized crystal structure of KSr2N, from the Alexandria database.

Properties
**Uncorrected energy**: -14.2 eV/cell
**ΔE_f (raw)**: -1.43 eV/f.u.
**Density of states at the Fermi level**: 2.6 states/eV per cell
**Symmetry**: No. 12

Cell lengths 3.9411, 3.9411, 10.9921 Å; angles 90.23, 90.23, 59.98 degrees
Sites, in units of the cell vectors:
K 0.0000 0.0000 0.0000
Sr 0.3323 0.3323 0.3766
Sr 0.6677 0.6677 0.6234
N 0.0000 0.0000 0.5000


No. 8
The following is a PBE calculation of an optimized crystal structure of Ca6H2Ir, from the Alexandria database.

Properties
**Uncorrected energy**: -29.5 eV/cell
**Density of states at the Fermi level**: 5.8 states/eV per cell
**Symmetry**: No. 148

Cell lengths 7.5344, 7.5344, 7.5344 Å; angles 51.98, 51.98, 51.98 degrees
Sites, in units of the cell vectors:
Ca 0.0777 0.4219 0.7566
Ca 0.2434 0.9223 0.5781
Ca 0.4219 0.7566 0.0777
Ca 0.5781 0.2434 0.9223
Ca 0.7566 0.0777 0.4219
Ca 0.9223 0.5781 0.2434
H 0.1828 0.1828 0.1828
H 0.8172 0.8172 0.8172
Ir 0.0000 0.0000 0.0000


No. 9
The following is a PBE calculation of an optimized crystal structure of K2CdF4, from the Alexandria database.

Properties
**Uncorrected energy**: -28.2 eV/cell
**ΔE_f (raw)**: -17.61 eV/f.u.
**Density of states at the Fermi level**: 0.0 states/eV per cell
**Symmetry**: No. 12

Cell lengths 5.9942, 5.9942, 6.9706 Å; angles 117.02, 117.02, 34.02 degrees
Sites, in units of the cell vectors:
K 0.1552 0.1552 0.1798
K 0.8448 0.8448 0.8202
Cd 0.5000 0.5000 0.5000
F 0.1497 0.1497 0.5690
F 0.4503 0.4503 0.1547
F 0.5497 0.5497 0.8453
F 0.8503 0.8503 0.4310


No. 10
The following is a PBE calculation of an optimized crystal structure of Ac3La8Er, from the Alexandria database.

Properties
**Uncorrected energy**: -53.8 eV/cell
**ΔE_f**: 0.2114 eV/atom
**Density of states at the Fermi level**: 19.0 states/eV per cell
**Symmetry**: No. 71

Cell lengths 9.0633, 9.0633, 9.0633 Å; angles 135.19, 98.59, 98.12 degrees
Sites, in units of the cell vectors:
Ac 0.0000 0.0000 0.0000
Ac 0.2566 0.5000 0.7565
Ac 0.7435 0.5000 0.2434
La 0.0837 0.8277 0.2560
La 0.2769 0.0559 0.7790
La 0.2769 0.4980 0.2210
La 0.4282 0.1723 0.2560
La 0.5718 0.8277 0.7440
La 0.7231 0.5020 0.7790
La 0.7231 0.9441 0.2210
La 0.9163 0.1723 0.7440
Er 0.5000 0.0000 0.5000


No. 11
The following is a PBE calculation of an optimized crystal structure of PrHo6Tm2, from the Alexandria database.

Properties
**Uncorrected energy**: -38.0 eV/cell
**ΔE_f**: 0.3517 eV/atom
**Density of states at the Fermi level**: 12.3 states/eV per cell
**Symmetry**: No. 160
**Energy relative to the lowest polymorph listed for this composition**: 330 meV per atom

Cell lengths 7.6231, 7.6231, 7.6231 Å; angles 57.19, 57.19, 57.19 degrees
Sites, in units of the cell vectors:
Pr 0.0000 0.0000 0.0000
Ho 0.0557 0.0557 0.5359
Ho 0.0557 0.5359 0.0557
Ho 0.2704 0.2704 0.7043
Ho 0.2704 0.7043 0.2704
Ho 0.5359 0.0557 0.0557
Ho 0.7043 0.2704 0.2704
Tm 0.5615 0.5615 0.5615
Tm 0.7380 0.7380 0.7380


No. 12
The following is a PBE calculation of an optimized crystal structure of AlInMo3, from the Alexandria database.

Properties
**Uncorrected energy**: -32.5 eV/cell
**ΔE_f**: 1.2968 eV/atom
**Density of states at the Fermi level**: 6.9 states/eV per cell
**Symmetry**: No. 221
**Energy relative to the lowest polymorph listed for this composition**: 0 meV per atom

Cell lengths 4.5874, 4.5874, 4.5874 Å; angles 90.00, 90.00, 90.00 degrees
Sites, in units of the cell vectors:
Al 0.0000 0.0000 0.0000
In 0.5000 0.5000 0.5000
Mo 0.0000 0.0000 0.5000
Mo 0.0000 0.5000 0.0000
Mo 0.5000 0.0000 0.0000


What did the second record say?
The following is a PBE calculation of an optimized crystal structure of K3RuW, from the Alexandria database.

Properties
**Uncorrected energy**: -14.3 eV/cell
**ΔE_f**: 2.2538 eV/atom
**Density of states at the Fermi level**: 11.6 states/eV per cell
**Symmetry**: No. 221
**Energy relative to the lowest polymorph listed for this composition**: 0 meV per atom

Cell lengths 6.0749, 6.0749, 6.0749 Å; angles 90.00, 90.00, 90.00 degrees
Sites, in units of the cell vectors:
K 0.0000 0.0000 0.5000
K 0.0000 0.5000 0.0000
K 0.5000 0.0000 0.0000
Ru 0.0000 0.0000 0.0000
W 0.5000 0.5000 0.5000


Question: Which of these has the lowest uncorrected energy?
Answer: CdH4Br3N


What did the tenth record say?
The following is a PBE calculation of an optimized crystal structure of Ac3La8Er, from the Alexandria database.

Properties
**Uncorrected energy**: -53.8 eV/cell
**ΔE_f**: 0.2114 eV/atom
**Density of states at the Fermi level**: 19.0 states/eV per cell
**Symmetry**: No. 71

Cell lengths 9.0633, 9.0633, 9.0633 Å; angles 135.19, 98.59, 98.12 degrees
Sites, in units of the cell vectors:
Ac 0.0000 0.0000 0.0000
Ac 0.2566 0.5000 0.7565
Ac 0.7435 0.5000 0.2434
La 0.0837 0.8277 0.2560
La 0.2769 0.0559 0.7790
La 0.2769 0.4980 0.2210
La 0.4282 0.1723 0.2560
La 0.5718 0.8277 0.7440
La 0.7231 0.5020 0.7790
La 0.7231 0.9441 0.2210
La 0.9163 0.1723 0.7440
Er 0.5000 0.0000 0.5000


Question: Among the records above, which one has the highest uncorrected energy?
Answer: KSr2N